An optimized crystal structure of MgCoCu2. Source: Alexandria via LeMat-Bulk, functional PBE.

Computed properties:
total moment = 1.404 μB/f.u.
mass density = 6.57 g/cm3
formation energy from the elements = 0.206 eV/atom
E_tot = -48.21 eV/cell

```
12
Lattice="2.676 0.000 0.000 -1.338 2.318 0.000 0.000 0.000 25.706" Properties=species:S:1:pos:R:3 pbc="T T T"
Mg 0.000 0.000 0.000
Mg 0.000 1.545 17.137
Mg 1.338 0.773 8.569
Co 0.000 0.000 12.853
Co 0.000 1.545 4.284
Co 1.338 0.773 21.422
Cu 0.000 0.000 6.308
Cu 0.000 0.000 19.398
Cu 0.000 1.545 10.830
Cu 0.000 1.545 23.445
Cu 1.338 0.773 2.261
Cu 1.338 0.773 14.876
```

An optimized crystal structure of K3Pr3CrSe8. Source: Alexandria via LeMat-Bulk, functional PBE.

Computed properties:
total moment = 2.156 μB/f.u.
mass density = 4.19 g/cm3
energy relative to the elements, uncorrected = -1.39 eV per atom
E_tot = -75.96 eV/cell

```
15
Lattice="4.207 2.429 7.916 -4.207 2.429 7.916 0.000 -4.858 7.916" Properties=species:S:1:pos:R:3 pbc="T T T"
K -2.103 -1.214 7.916
K -2.103 1.214 15.832
K 0.000 2.429 7.916
Pr -4.207 0.000 11.874
Pr -2.103 1.214 3.958
Pr 2.103 1.214 3.958
Cr 0.000 0.000 11.874
Se 0.000 0.000 5.665
Se -1.857 -1.072 13.393
Se 0.000 -2.144 10.355
Se -1.857 1.072 10.355
Se 1.857 -1.072 13.393
Se 0.000 2.144 13.393
Se 1.857 1.072 10.355
Se 0.000 0.000 18.083
```

Which formula does entry 2 have?
K3Pr3CrSe8